(1)
DyCoSi2Ni2 | the Alexandria database | PBE-GGA | optimized geometry; formation energy (no corrections) = -304 meV per atom
1.0
4.252 0.000 0.000
0.000 4.252 0.000
0.000 0.000 5.133
Ni Si Dy Co
2 2 1 1
direct
0.500 0.500 0.747
0.500 0.500 0.253
0.500 0.000 0.000
0.000 0.500 0.000
0.000 0.000 0.500
0.000 0.000 0.000


(2)
SeS2BrO8 | the Alexandria database | PBE-GGA | optimized geometry; formation energy (no corrections) = -715 meV per atom
1.0
-1.882 -2.475 3.724
-2.388 -4.016 -1.307
5.701 -8.269 1.958
Br Se S O
1 1 2 8
direct
0.000 0.000 0.500
0.000 0.000 0.000
0.556 0.556 0.173
0.444 0.444 0.827
0.426 0.426 0.694
0.317 0.779 0.841
0.266 0.266 0.961
0.734 0.734 0.039
0.221 0.683 0.159
0.683 0.221 0.159
0.779 0.317 0.841
0.574 0.574 0.306


(3)
Dy6Tc2Ag | the Alexandria database | PBE-GGA | optimized geometry; E_form = -113 meV/atom
1.0
7.924 0.028 -2.963
-4.143 6.981 -2.382
-0.156 -0.028 8.458
Dy Tc Ag
12 4 2
direct
0.206 0.230 0.436
0.293 0.609 0.315
0.095 0.283 0.811
0.707 0.391 0.685
0.794 0.770 0.564
0.794 0.230 0.023
0.905 0.717 0.189
0.206 0.770 0.977
0.707 0.022 0.315
0.528 0.717 0.811
0.472 0.283 0.189
0.293 0.978 0.685
0.629 0.000 0.629
0.500 0.618 0.118
0.371 0.000 0.371
0.500 0.382 0.882
0.000 0.000 0.000
0.000 0.500 0.500


(4)
LaTh2Ag2Sn2 | the Alexandria database | PBE-GGA | optimized geometry; E_form = -250 meV/atom
1.0
4.891 0.000 0.000
2.445 4.235 0.000
2.445 1.412 9.372
Sn Ag Th La
2 2 2 1
direct
0.264 0.264 0.207
0.736 0.736 0.793
0.586 0.586 0.242
0.414 0.414 0.758
0.868 0.868 0.397
0.132 0.132 0.603
0.000 0.000 0.000


(5)
CsBr6 | the Alexandria database | PBE-GGA | optimized geometry; formation energy (no corrections) = -45 meV per atom
1.0
-2.795 4.550 5.162
4.006 -5.316 3.293
4.341 3.868 -4.620
Br Cs
6 1
direct
0.750 0.250 0.500
0.250 0.500 0.750
0.500 0.250 0.750
0.500 0.750 0.250
0.250 0.750 0.500
0.750 0.500 0.250
0.000 0.000 0.000


(6)
Tb2Er2Sc | the Alexandria database | PBE-GGA | optimized geometry; E_form = 38 meV/atom; distance to the lowest polymorph of the same formula = 0 kJ/mol of formula units
1.0
4.930 0.000 -0.003
-2.466 5.447 0.710
-0.006 -1.416 10.899
Er Tb Sc
4 4 2
direct
0.950 0.901 0.652
0.050 0.099 0.348
0.848 0.697 0.950
0.152 0.303 0.050
0.550 0.099 0.849
0.450 0.901 0.151
0.652 0.303 0.550
0.348 0.697 0.450
0.749 0.499 0.249
0.251 0.501 0.751


(7)
Si2MoP | the Alexandria database | PBE-GGA | optimized geometry; formation energy (no corrections) = 164 meV per atom
1.0
4.396 -0.002 0.000
-1.604 4.093 0.000
0.000 0.000 3.091
Mo Si P
1 2 1
direct
0.500 0.000 0.500
0.000 0.000 0.000
0.500 0.500 0.000
0.000 0.500 0.500


(8)
RbTlTcCl6 | the Alexandria database | PBE-GGA | optimized geometry; formation energy (no corrections) = -1084 meV per atom
1.0
7.755 0.000 0.000
-3.878 6.716 0.000
0.000 0.000 11.476
Cl Tl Rb Tc
12 2 2 2
direct
0.414 0.086 0.129
0.914 0.328 0.129
0.672 0.086 0.371
0.328 0.414 0.871
0.914 0.586 0.371
0.414 0.328 0.371
0.586 0.672 0.629
0.586 0.914 0.871
0.328 0.914 0.629
0.086 0.672 0.871
0.672 0.586 0.129
0.086 0.414 0.629
0.000 0.000 0.000
0.000 0.000 0.500
0.333 0.667 0.250
0.667 0.333 0.750
0.667 0.333 0.250
0.333 0.667 0.750


(9)
CaNi2Te | the Alexandria database | PBE-GGA | optimized geometry; formation energy (no corrections) = -138 meV per atom
1.0
4.297 0.000 0.000
0.000 4.294 0.000
0.000 0.000 3.836
Ni Te Ca
2 1 1
direct
0.500 0.500 0.000
0.000 0.000 0.000
0.500 0.000 0.500
0.000 0.500 0.500


(10)
K5SrI7 | the Alexandria database | PBE-GGA | optimized geometry; formation energy (no corrections) = -1509 meV per atom
1.0
-1.730 -2.856 -3.413
7.724 2.968 -3.060
13.697 -22.961 12.274
I K Sr
14 10 2
direct
0.431 0.862 0.249
0.381 0.761 0.960
0.346 0.691 0.538
0.188 0.375 0.319
0.569 0.139 0.749
0.111 0.222 0.878
0.813 0.626 0.819
0.066 0.133 0.607
0.620 0.239 0.460
0.655 0.310 0.038
0.934 0.869 0.107
0.212 0.425 0.185
0.890 0.779 0.378
0.788 0.576 0.685
0.982 0.963 0.498
0.737 0.474 0.929
0.562 0.125 0.151
0.263 0.527 0.429
0.438 0.876 0.651
0.704 0.408 0.574
0.465 0.931 0.851
0.535 0.070 0.351
0.296 0.593 0.074
0.019 0.038 0.998
0.205 0.410 0.761
0.796 0.592 0.262


(11)
Nd3MgSn | the Alexandria database | PBE-GGA | optimized geometry; E_form = -233 meV/atom
1.0
-0.326 4.267 -6.693
2.005 -5.928 -4.894
-9.892 -1.725 3.045
Mg Nd Sn
4 12 4
direct
0.834 0.444 0.841
0.444 0.834 0.341
0.556 0.166 0.659
0.166 0.556 0.159
0.643 0.935 0.890
0.307 0.328 0.406
0.109 0.744 0.893
0.328 0.307 0.906
0.935 0.643 0.390
0.744 0.109 0.393
0.672 0.693 0.094
0.065 0.357 0.610
0.357 0.065 0.110
0.256 0.891 0.607
0.693 0.672 0.594
0.891 0.256 0.107
0.435 0.565 0.750
0.565 0.435 0.250
0.942 0.058 0.750
0.058 0.942 0.250


Number 1: theoretical density 7.1 Mg/m³. Number 2: theoretical density 2.9 Mg/m³. Number 3: theoretical density 9.1 Mg/m³. Number 4: theoretical density 9.0 Mg/m³. Number 5: theoretical density 3.2 Mg/m³. Number 6: theoretical density 7.8 Mg/m³. Number 7: theoretical density 5.5 Mg/m³. Number 8: theoretical density 3.3 Mg/m³. Number 9: theoretical density 6.7 Mg/m³. Number 10: theoretical density 3.3 Mg/m³. Number 11: theoretical density 6.3 Mg/m³.